10
Lattice="2.583 -8.739 0.000 2.583 8.739 0.000 0.000 0.000 4.880" Properties=species:S:1:pos:R:3 comment="PrInRh3 (PBE-GGA, optimized geometry)" n_ef_per_ev_fu=4.08 final_energy_ev_per_atom=-6.025 delta_e_f_ev_per_atom=-0.1107 magmom_total_mub_per_fu=0.0 pbc="T T T"
Pr 2.583 7.248 3.660
Pr 2.583 -7.248 1.220
In 2.583 2.478 3.660
In 2.583 -2.478 1.220
Rh 1.374 3.906 1.220
Rh 1.374 -3.906 3.660
Rh 2.583 0.000 0.000
Rh 2.583 0.000 2.440
Rh 3.793 3.906 1.220
Rh 3.793 -3.906 3.660